Below is an optimized crystal structure of SiSb3Se6, with properties calculated at the PBE level.

Values from the calculation:
The volume comes out at 28.3 Å³ per atom. The formation energy (no corrections) is -0.1880 eV/atom. The calculation puts the total energy at -4.058 eV per atom.

Cell lengths 11.380, 14.150, 7.042 Å; angles 90.00, 90.00, 90.00 degrees
Space group Cmc2_1 (No. 36)
Inequivalent atoms, fractional coordinates:
Si1 0.000 0.199 0.000 (multiplicity 4)
Sb1 0.000 0.405 0.301 (multiplicity 4)
Sb2 0.192 0.084 0.493 (multiplicity 8)
Se1 0.000 0.047 0.125 (multiplicity 4)
Se2 0.000 0.212 0.681 (multiplicity 4)
Se3 0.162 0.267 0.153 (multiplicity 8)
Se4 0.163 0.460 0.671 (multiplicity 8)



Below is an optimized crystal structure of SiSbSe, with properties calculated at the PBE level.

Values from the calculation:
The volume comes out at 24.1 Å³ per atom. The formation energy (no corrections) is 0.3919 eV/atom. The calculation puts the total energy at -3.951 eV per atom.

Cell lengths 6.613, 6.613, 6.613 Å; angles 90.00, 90.00, 90.00 degrees
Space group F-43m (No. 216)
Inequivalent atoms, fractional coordinates:
Si1 0.000 0.000 0.000 (multiplicity 4)
Sb1 0.250 0.250 0.750 (multiplicity 4)
Se1 0.250 0.250 0.250 (multiplicity 4)



Below is an optimized crystal structure of Si2SbSe, with properties calculated at the PBE level.

Values from the calculation:
The volume comes out at 21.5 Å³ per atom. The formation energy (no corrections) is 0.1634 eV/atom. The calculation puts the total energy at -4.450 eV per atom.

Cell lengths 11.765, 3.850, 3.942 Å; angles 90.00, 105.32, 90.00 degrees
Space group Cm (No. 8)
Inequivalent atoms, fractional coordinates:
Si1 0.000 0.000 0.000 (multiplicity 2)
Si2 0.219 0.000 0.126 (multiplicity 2)
Sb1 0.259 0.500 0.680 (multiplicity 2)
Se1 0.484 0.000 0.382 (multiplicity 2)



Below is an optimized crystal structure of SiSbSe2, with properties calculated at the PBE level.

Values from the calculation:
The volume comes out at 23.1 Å³ per atom. The formation energy (no corrections) is 0.1112 eV/atom. The calculation puts the total energy at -4.017 eV per atom.

Cell lengths 5.848, 8.252, 3.825 Å; angles 90.00, 90.00, 90.00 degrees
Space group Cmmm (No. 65)
Inequivalent atoms, fractional coordinates:
Si1 0.000 0.000 0.000 (multiplicity 2)
Sb1 0.000 0.500 0.000 (multiplicity 2)
Se1 0.000 0.231 0.500 (multiplicity 4)



Below is an optimized crystal structure of Si2SbSe, with properties calculated at the PBE level.

Values from the calculation:
The volume comes out at 19.8 Å³ per atom. The formation energy (no corrections) is 0.5726 eV/atom. The calculation puts the total energy at -4.041 eV per atom.

Cell lengths 6.816, 6.816, 6.816 Å; angles 90.00, 90.00, 90.00 degrees
Space group F-43m (No. 216)
Inequivalent atoms, fractional coordinates:
Si1 0.000 0.000 0.000 (multiplicity 4)
Si2 0.250 0.250 0.250 (multiplicity 4)
Sb1 0.000 0.000 0.500 (multiplicity 4)
Se1 0.250 0.250 0.750 (multiplicity 4)



Below is an optimized crystal structure of Si2SbSe, with properties calculated at the PBE level.

Values from the calculation:
The volume comes out at 23.2 Å³ per atom. The formation energy (no corrections) is 0.3448 eV/atom. The calculation puts the total energy at -4.268 eV per atom.

Cell lengths 3.467, 5.860, 9.134 Å; angles 90.00, 90.00, 90.00 degrees
Space group Cmm2 (No. 35)
Inequivalent atoms, fractional coordinates:
Si1 0.000 0.000 0.000 (multiplicity 2)
Si2 0.000 0.500 0.195 (multiplicity 2)
Sb1 0.000 0.500 0.775 (multiplicity 2)
Se1 0.000 0.000 0.377 (multiplicity 2)



Below is an optimized crystal structure of SiSbSe2, with properties calculated at the PBE level.

Values from the calculation:
The volume comes out at 25.0 Å³ per atom. The formation energy (no corrections) is 0.1591 eV/atom. The calculation puts the total energy at -3.970 eV per atom.

Cell lengths 3.410, 3.410, 8.594 Å; angles 90.00, 90.00, 90.00 degrees
Space group P4mm (No. 99)
Inequivalent atoms, fractional coordinates:
Si1 0.000 0.000 0.000 (multiplicity 1)
Sb1 0.500 0.500 0.292 (multiplicity 1)
Se1 0.000 0.000 0.467 (multiplicity 1)
Se2 0.500 0.500 0.875 (multiplicity 1)



Below is an optimized crystal structure of SiSb3Se, with properties calculated at the PBE level.

Values from the calculation:
The volume comes out at 31.2 Å³ per atom. The formation energy (no corrections) is 0.9592 eV/atom. The calculation puts the total energy at -3.296 eV per atom.

Cell lengths 5.383, 5.383, 5.383 Å; angles 90.00, 90.00, 90.00 degrees
Space group Pm-3m (No. 221)
Inequivalent atoms, fractional coordinates:
Si1 0.000 0.000 0.000 (multiplicity 1)
Sb1 0.000 0.500 0.500 (multiplicity 3)
Se1 0.500 0.500 0.500 (multiplicity 1)



Below is an optimized crystal structure of SiSbSe2, with properties calculated at the PBE level.

Values from the calculation:
The volume comes out at 25.8 Å³ per atom. The formation energy (no corrections) is 0.3264 eV/atom. The calculation puts the total energy at -3.802 eV per atom.

Cell lengths 3.869, 3.869, 13.779 Å; angles 90.00, 90.00, 90.00 degrees
Space group I-4m2 (No. 119)
Inequivalent atoms, fractional coordinates:
Si1 0.000 0.000 0.000 (multiplicity 2)
Sb1 0.000 0.500 0.750 (multiplicity 2)
Se1 0.000 0.000 0.500 (multiplicity 2)
Se2 0.000 0.500 0.250 (multiplicity 2)



Below is an optimized crystal structure of Si2SbSe, with properties calculated at the PBE level.

Values from the calculation:
The volume comes out at 21.4 Å³ per atom. The formation energy (no corrections) is 0.3902 eV/atom. The calculation puts the total energy at -4.223 eV per atom.

Cell lengths 3.161, 3.161, 8.556 Å; angles 90.00, 90.00, 90.00 degrees
Space group P4mm (No. 99)
Inequivalent atoms, fractional coordinates:
Si1 0.000 0.000 0.000 (multiplicity 1)
Si2 0.500 0.500 0.183 (multiplicity 1)
Sb1 0.000 0.000 0.436 (multiplicity 1)
Se1 0.500 0.500 0.836 (multiplicity 1)



Below is an optimized crystal structure of Si2SbSe, with properties calculated at the PBE level.

Values from the calculation:
The volume comes out at 21.3 Å³ per atom. The formation energy (no corrections) is 0.2506 eV/atom. The calculation puts the total energy at -4.363 eV per atom.

Cell lengths 5.561, 7.792, 3.925 Å; angles 90.00, 90.00, 90.00 degrees
Space group Cmmm (No. 65)
Inequivalent atoms, fractional coordinates:
Si1 0.000 0.249 0.000 (multiplicity 4)
Sb1 0.000 0.000 0.500 (multiplicity 2)
Se1 0.000 0.500 0.500 (multiplicity 2)



Below is an optimized crystal structure of Si2SbSe, with properties calculated at the PBE level.

Values from the calculation:
The volume comes out at 20.1 Å³ per atom. The formation energy (no corrections) is 0.5187 eV/atom. The calculation puts the total energy at -4.095 eV per atom.

Cell lengths 3.365, 5.007, 9.534 Å; angles 90.00, 90.00, 90.00 degrees
Space group Immm (No. 71)
Inequivalent atoms, fractional coordinates:
Si1 0.000 0.000 0.234 (multiplicity 4)
Sb1 0.000 0.500 0.000 (multiplicity 2)
Se1 0.000 0.500 0.500 (multiplicity 2)



Below is an optimized crystal structure of SiSbSe3, with properties calculated at the PBE level.

Values from the calculation:
The volume comes out at 22.9 Å³ per atom. The formation energy (no corrections) is 0.2334 eV/atom. The calculation puts the total energy at -3.766 eV per atom.

Cell lengths 4.855, 4.855, 4.855 Å; angles 90.00, 90.00, 90.00 degrees
Space group Pm-3m (No. 221)
Inequivalent atoms, fractional coordinates:
Si1 0.000 0.000 0.000 (multiplicity 1)
Sb1 0.500 0.500 0.500 (multiplicity 1)
Se1 0.000 0.000 0.500 (multiplicity 3)



Below is an optimized crystal structure of SiSbSe2, with properties calculated at the PBE level.

Values from the calculation:
The volume comes out at 25.0 Å³ per atom. The formation energy (no corrections) is 0.0826 eV/atom. The calculation puts the total energy at -4.046 eV per atom.

Cell lengths 3.840, 4.312, 6.040 Å; angles 90.00, 90.00, 90.00 degrees
Space group Pmm2 (No. 25)
Inequivalent atoms, fractional coordinates:
Si1 0.000 0.000 0.000 (multiplicity 1)
Sb1 0.500 0.500 0.535 (multiplicity 1)
Se1 0.000 0.000 0.586 (multiplicity 1)
Se2 0.500 0.500 0.997 (multiplicity 1)



Below is an optimized crystal structure of SiSbSe2, with properties calculated at the PBE level.

Values from the calculation:
The volume comes out at 22.2 Å³ per atom. The formation energy (no corrections) is -0.0363 eV/atom. The calculation puts the total energy at -4.165 eV per atom.

Cell lengths 6.101, 3.524, 8.538 Å; angles 90.00, 104.31, 90.00 degrees
Space group C2/m (No. 12)
Inequivalent atoms, fractional coordinates:
Si1 0.000 0.000 0.000 (multiplicity 2)
Sb1 0.000 0.500 0.500 (multiplicity 2)
Se1 0.228 0.500 0.180 (multiplicity 4)



Below is an optimized crystal structure of SiSbSe2, with properties calculated at the PBE level.

Values from the calculation:
The volume comes out at 23.9 Å³ per atom. The formation energy (no corrections) is 0.0954 eV/atom. The calculation puts the total energy at -4.033 eV per atom.

Cell lengths 4.310, 3.864, 5.773 Å; angles 90.00, 96.20, 90.00 degrees
Space group P2/m (No. 10)
Inequivalent atoms, fractional coordinates:
Si1 0.000 0.000 0.000 (multiplicity 1)
Sb1 0.500 0.500 0.500 (multiplicity 1)
Se1 0.000 0.000 0.500 (multiplicity 1)
Se2 0.500 0.500 0.000 (multiplicity 1)



Below is an optimized crystal structure of SiSb4Se, with properties calculated at the PBE level.

Values from the calculation:
The volume comes out at 27.3 Å³ per atom. The formation energy (no corrections) is 0.6612 eV/atom. The calculation puts the total energy at -3.572 eV per atom.

Cell lengths 8.689, 8.689, 8.689 Å; angles 90.00, 90.00, 90.00 degrees
Space group F-43m (No. 216)
Inequivalent atoms, fractional coordinates:
Si1 0.000 0.000 0.000 (multiplicity 4)
Sb1 0.124 0.124 0.624 (multiplicity 16)
Se1 0.250 0.250 0.250 (multiplicity 4)



Below is an optimized crystal structure of Si2SbSe, with properties calculated at the PBE level.

Values from the calculation:
The volume comes out at 24.8 Å³ per atom. The formation energy (no corrections) is 0.0733 eV/atom. The calculation puts the total energy at -4.540 eV per atom.

Cell lengths 3.6185, 3.6185, 26.2570 Å; angles 90.00, 90.00, 120.00 degrees
Space group R3m (No. 160, hexagonal axes)
Inequivalent atoms, fractional coordinates:
Si1 0.0000 0.0000 0.0000 (multiplicity 3)
Si2 0.0000 0.0000 0.2713 (multiplicity 3)
Sb1 0.0000 0.0000 0.7302 (multiplicity 3)
Se1 0.0000 0.0000 0.5524 (multiplicity 3)



Below is an optimized crystal structure of Si2SbSe2, with properties calculated at the PBE level.

Values from the calculation:
The volume comes out at 23.0 Å³ per atom. The formation energy (no corrections) is 0.3627 eV/atom. The calculation puts the total energy at -4.025 eV per atom.

Cell lengths 5.071, 5.071, 8.927 Å; angles 90.00, 90.00, 90.00 degrees
Space group I4/mmm (No. 139)
Inequivalent atoms, fractional coordinates:
Si1 0.000 0.500 0.250 (multiplicity 4)
Sb1 0.000 0.000 0.000 (multiplicity 2)
Se1 0.000 0.000 0.325 (multiplicity 4)



Below is an optimized crystal structure of SiSbSe2, with properties calculated at the PBE level.

Values from the calculation:
The volume comes out at 28.0 Å³ per atom. The formation energy (no corrections) is 0.2758 eV/atom. The calculation puts the total energy at -3.853 eV per atom.

Cell lengths 3.8734, 3.8734, 25.8309 Å; angles 90.00, 90.00, 120.00 degrees
Space group R-3m (No. 166, hexagonal axes)
Inequivalent atoms, fractional coordinates:
Si1 0.0000 0.0000 0.0000 (multiplicity 3)
Sb1 0.0000 0.0000 0.5000 (multiplicity 3)
Se1 0.0000 0.0000 0.0971 (multiplicity 6)



Number 1: total moment 0.00 μB per formula unit. Number 2: total moment 0.00 μB per formula unit. Number 3: total moment 0.00 μB per formula unit. Number 4: total moment 0.00 μB per formula unit. Number 5: total moment 0.00 μB per formula unit. Number 6: total moment 0.00 μB per formula unit. Number 7: total moment 0.00 μB per formula unit. Number 8: total moment 0.00 μB per formula unit. Number 9: total moment 0.00 μB per formula unit. Number 10: total moment 0.00 μB per formula unit. Number 11: total moment 0.00 μB per formula unit. Number 12: total moment 0.00 μB per formula unit. Number 13: total moment 0.00 μB per formula unit. Number 14: total moment 0.00 μB per formula unit. Number 15: total moment 0.00 μB per formula unit. Number 16: total moment 0.00 μB per formula unit. Number 17: total moment 0.00 μB per formula unit. Number 18: total moment 0.00 μB per formula unit. Number 19: total moment 0.00 μB per formula unit. Number 20: total moment 0.00 μB per formula unit.